# PtPb2O2 (PBE, relaxed)
data_PtPb2O2
_cell_length_a 5.315
_cell_length_b 5.315
_cell_length_c 5.315
_cell_angle_alpha 122.61
_cell_angle_beta 122.61
_cell_angle_gamma 85.54
_space_group_name_H-M_alt 'P 1'
_space_group_IT_number 1
_space_group_name_Hall 'P 1'
loop_
_atom_site_label
_atom_site_type_symbol
_atom_site_fract_x
_atom_site_fract_y
_atom_site_fract_z
Pt1 Pt 0.000 0.000 0.000
Pb1 Pb 0.250 0.750 0.500
Pb2 Pb 0.750 0.250 0.500
O1 O 0.264 0.264 0.000
O2 O 0.736 0.736 0.000
# E_form (uncorrected) = -569 meV/atom
# E_tot = -5.244 eV/atom
# SG = I4/mmm, No. 139
# DOS at the Fermi energy = 0.088 states/eV per atom
# Calculated density = 10.5 g/cm3
# Total magnetization = 0.0 μB/cell
# Offset from the most stable computed form = 0.00 eV per formula unit